[1]
Below is a relaxed Mg2AsOs2 crystal, with properties calculated at the PBE level.

The structure in POSCAR format:
```
Mg2AsOs2
1.0
-6.032 -1.704 3.064
0.348 -6.358 -2.852
1.666 -1.105 2.666
Mg As Os
4 2 4
Cartesian
-0.686 -2.552 -0.629
-1.902 -6.124 -1.349
-4.999 -5.510 0.840
-3.782 -1.939 1.560
-2.842 -4.031 0.106
0.000 0.000 0.000
-1.143 -2.163 1.901
0.080 -5.045 -0.059
-2.875 -7.004 0.977
-4.099 -4.122 2.936
```

Values from the calculation:
DFT formation energy in eV per atom: 0.79
ΔE to the lowest computed polymorph in eV per formula unit: 2.29

[2]
Below is a relaxed Sm2HoSe crystal, with properties calculated at the PBE level.

The structure in POSCAR format:
```
Sm2HoSe
1.0
-2.158 3.093 0.451
-2.171 0.366 3.096
6.349 5.875 6.087
Se Ho Sm
1 1 2
Cartesian
1.010 4.667 4.817
0.000 0.000 0.000
-1.809 4.987 5.133
3.829 4.348 4.501
```

Values from the calculation:
Uncorrected formation energy in meV/atom: -544

no.,spin magnetization (μB per formula unit)
1,0.7
2,0.0